1.
The following is a DFT calculation (PBE) of crystalline Cd2RuW at its relaxed geometry.

Cell: 2.828 2.828 9.894 Å, 90.00 90.00 114.74°
Fractional positions:
1 Cd 0.000 0.000 0.000
2 Cd 0.500 0.500 0.283
3 Ru 0.500 0.500 0.751
4 W 0.000 0.000 0.543

Summary:
The energy relative to the lowest polymorph listed for this composition is 0.158 eV per atom. The calculation puts the energy of formation at 334 meV per atom.

2.
The following is a DFT calculation (PBE) of crystalline CdRuW2 at its relaxed geometry.

Cell: 2.749 2.749 9.506 Å, 90.00 90.00 112.06°
Fractional positions:
1 Cd 0.000 0.000 0.000
2 Ru 0.000 0.000 0.500
3 W 0.500 0.500 0.270
4 W 0.500 0.500 0.730

Summary:
The calculation puts the energy of formation at 464 meV per atom.

3.
The following is a DFT calculation (PBE) of crystalline CdRuW2 at its relaxed geometry.

Cell: 4.965 4.965 4.970 Å, 101.90 101.90 33.59°
Fractional positions:
1 Cd 0.000 0.000 0.000
2 Ru 0.239 0.239 0.736
3 W 0.513 0.513 0.510
4 W 0.767 0.767 0.278

Summary:
The calculation puts the energy of formation at 460 meV per atom.

4.
The following is a DFT calculation (PBE) of crystalline CdRuW2 at its relaxed geometry.

Cell: 4.526 4.526 4.526 Å, 60.00 60.00 60.00°
Fractional positions:
1 Cd 0.000 0.000 0.000
2 Ru 0.250 0.250 0.250
3 W 0.500 0.500 0.500
4 W 0.750 0.750 0.750

Summary:
The calculation puts the energy of formation at 530 meV per atom.

> Number 3 is which compound?

CdRuW2

> Which value of energy of formation does entry 3 give?

460 meV per atom